DFT (PBE-GGA) results for a geometry-optimized EuDyHoTh structure.

abc: 5.7376 5.7376 5.7376
angles: 60.00 60.00 60.00
Each line ends with the local moment (μB).
Fractional positions:
Eu 0.7500 0.7500 0.7500  6.84
Ho 0.5000 0.5000 0.5000  -0.01
Th 0.2500 0.2500 0.2500  -0.09
Dy 0.0000 0.0000 0.0000  -0.01

Total DFT energy (no corrections) in Ha/atom: -0.240
Spin magnetization in μB per atom: 1.73